(1)
Here is a geometry-optimized AlSi2Hg structure from the Alexandria database. Energies are from PBE.

Cell and atoms, written as CIF:
```
data_AlSi2Hg
_chemical_formula_sum 'Al1 Si2 Hg1'
_cell_length_a 3.799
_cell_length_b 3.799
_cell_length_c 5.143
_cell_angle_alpha 90.00
_cell_angle_beta 90.00
_cell_angle_gamma 90.00
_symmetry_space_group_name_H-M 'P 4/m m m'
_symmetry_Int_Tables_number 123
_symmetry_space_group_name_Hall '-P 4 2'
loop_
_atom_site_label
_atom_site_fract_x
_atom_site_fract_y
_atom_site_fract_z
Al1 0.000 0.000 0.000
Si1 0.000 0.500 0.500
Hg1 0.500 0.500 0.000
```

Computed properties:
DFT total energy in eV per cell: -12.92
Formation energy from raw total energies in meV/atom: 493
M_tot in μB/cell: 0.00

***

(2)
Here is a geometry-optimized AlSiHg3 structure from the Alexandria database. Energies are from PBE.

Cell and atoms, written as CIF:
```
data_AlSiHg3
_chemical_formula_sum 'Al1 Si1 Hg3'
_cell_length_a 5.167
_cell_length_b 5.167
_cell_length_c 5.167
_cell_angle_alpha 90.00
_cell_angle_beta 90.00
_cell_angle_gamma 90.00
_symmetry_space_group_name_H-M 'P m -3 m'
_symmetry_Int_Tables_number 221
_symmetry_space_group_name_Hall '-P 4 2 3'
loop_
_atom_site_label
_atom_site_fract_x
_atom_site_fract_y
_atom_site_fract_z
Al1 0.000 0.000 0.000
Si1 0.500 0.500 0.500
Hg1 0.000 0.000 0.500
```

Computed properties:
DFT total energy in eV per cell: -6.80
Formation energy from raw total energies in meV/atom: 655
M_tot in μB/cell: 0.00

***

(3)
Here is a geometry-optimized AlSiHg2 structure from the Alexandria database. Energies are from PBE.

Cell and atoms, written as CIF:
```
data_AlSiHg2
_chemical_formula_sum 'Al1 Si1 Hg2'
_cell_length_a 3.030
_cell_length_b 3.594
_cell_length_c 7.959
_cell_angle_alpha 90.00
_cell_angle_beta 92.75
_cell_angle_gamma 90.00
_symmetry_space_group_name_H-M 'P 1 m 1'
_symmetry_Int_Tables_number 6
loop_
_symmetry_equiv_pos_as_xyz
'x,y,z'
'x,-y,z'
loop_
_atom_site_label
_atom_site_fract_x
_atom_site_fract_y
_atom_site_fract_z
Al1 0.000 0.000 0.000
Si1 0.517 0.500 0.154
Hg1 0.591 0.000 0.427
Hg2 0.804 0.500 0.730
```

Computed properties:
DFT total energy in eV per cell: -8.84
Formation energy from raw total energies in meV/atom: 231
M_tot in μB/cell: 0.00

***

(4)
Here is a geometry-optimized AlSi3Hg structure from the Alexandria database. Energies are from PBE.

Cell and atoms, written as CIF:
```
data_AlSi3Hg
_chemical_formula_sum 'Al1 Si3 Hg1'
_cell_length_a 4.800
_cell_length_b 4.800
_cell_length_c 4.800
_cell_angle_alpha 90.00
_cell_angle_beta 90.00
_cell_angle_gamma 90.00
_symmetry_space_group_name_H-M 'P m -3 m'
_symmetry_Int_Tables_number 221
_symmetry_space_group_name_Hall '-P 4 2 3'
loop_
_atom_site_label
_atom_site_fract_x
_atom_site_fract_y
_atom_site_fract_z
Al1 0.000 0.000 0.000
Si1 0.000 0.000 0.500
Hg1 0.500 0.500 0.500
```

Computed properties:
DFT total energy in eV per cell: -15.97
Formation energy from raw total energies in meV/atom: 870
M_tot in μB/cell: 0.00

***

(5)
Here is a geometry-optimized AlSi2Hg structure from the Alexandria database. Energies are from PBE.

Cell and atoms, written as CIF:
```
data_AlSi2Hg
_chemical_formula_sum 'Al1 Si2 Hg1'
_cell_length_a 2.772
_cell_length_b 5.037
_cell_length_c 5.255
_cell_angle_alpha 90.00
_cell_angle_beta 90.00
_cell_angle_gamma 90.00
_symmetry_space_group_name_H-M 'P m m m'
_symmetry_Int_Tables_number 47
loop_
_symmetry_equiv_pos_as_xyz
'x,y,z'
'-x,-y,-z'
'-x,-y,z'
'x,y,-z'
'x,-y,-z'
'-x,y,z'
'-x,y,-z'
'x,-y,z'
loop_
_atom_site_label
_atom_site_fract_x
_atom_site_fract_y
_atom_site_fract_z
Al1 0.000 0.000 0.000
Si1 0.000 0.500 0.500
Si2 0.500 0.500 0.000
Hg1 0.500 0.000 0.500
```

Computed properties:
DFT total energy in eV per cell: -12.90
Formation energy from raw total energies in meV/atom: 497
M_tot in μB/cell: 0.00

***

(6)
Here is a geometry-optimized AlSiHg2 structure from the Alexandria database. Energies are from PBE.

Cell and atoms, written as CIF:
```
data_AlSiHg2
_chemical_formula_sum 'Al3 Si3 Hg6'
_cell_length_a 3.0190
_cell_length_b 3.0190
_cell_length_c 31.6209
_cell_angle_alpha 90.00
_cell_angle_beta 90.00
_cell_angle_gamma 120.00
_symmetry_space_group_name_H-M 'R -3 m'
_symmetry_Int_Tables_number 166
_symmetry_space_group_name_Hall '-R 3 2"'
loop_
_atom_site_label
_atom_site_fract_x
_atom_site_fract_y
_atom_site_fract_z
Al1 0.0000 0.0000 0.0000
Si1 0.0000 0.0000 0.5000
Hg1 0.0000 0.0000 0.2532
```

Computed properties:
DFT total energy in eV per cell: -24.59
Formation energy from raw total energies in meV/atom: 393
M_tot in μB/cell: 0.00

***

(7)
Here is a geometry-optimized Al2Si2Hg structure from the Alexandria database. Energies are from PBE.

Cell and atoms, written as CIF:
```
data_Al2Si2Hg
_chemical_formula_sum 'Al4 Si4 Hg2'
_cell_length_a 7.972
_cell_length_b 7.972
_cell_length_c 2.798
_cell_angle_alpha 90.00
_cell_angle_beta 90.00
_cell_angle_gamma 90.00
_symmetry_space_group_name_H-M 'P 4/m b m'
_symmetry_Int_Tables_number 127
_symmetry_space_group_name_Hall '-P 4 2ab'
loop_
_atom_site_label
_atom_site_fract_x
_atom_site_fract_y
_atom_site_fract_z
Al1 0.144 0.356 0.000
Si1 0.150 0.650 0.500
Hg1 0.000 0.000 0.500
```

Computed properties:
DFT total energy in eV per cell: -34.85
Formation energy from raw total energies in meV/atom: 241
M_tot in μB/cell: 0.00

***

(8)
Here is a geometry-optimized AlSi2Hg structure from the Alexandria database. Energies are from PBE.

Cell and atoms, written as CIF:
```
data_AlSi2Hg
_chemical_formula_sum 'Al1 Si2 Hg1'
_cell_length_a 2.878
_cell_length_b 4.684
_cell_length_c 5.864
_cell_angle_alpha 90.00
_cell_angle_beta 102.70
_cell_angle_gamma 90.00
_symmetry_space_group_name_H-M 'P 1 2/m 1'
_symmetry_Int_Tables_number 10
loop_
_symmetry_equiv_pos_as_xyz
'x,y,z'
'-x,-y,-z'
'-x,y,-z'
'x,-y,z'
loop_
_atom_site_label
_atom_site_fract_x
_atom_site_fract_y
_atom_site_fract_z
Al1 0.000 0.000 0.000
Si1 0.341 0.500 0.181
Hg1 0.500 0.000 0.500
```

Computed properties:
DFT total energy in eV per cell: -13.32
Formation energy from raw total energies in meV/atom: 393
M_tot in μB/cell: 0.00

***

(9)
Here is a geometry-optimized AlSiHg2 structure from the Alexandria database. Energies are from PBE.

Cell and atoms, written as CIF:
```
data_AlSiHg2
_chemical_formula_sum 'Al2 Si2 Hg4'
_cell_length_a 4.094
_cell_length_b 4.094
_cell_length_c 10.061
_cell_angle_alpha 90.00
_cell_angle_beta 90.00
_cell_angle_gamma 90.00
_symmetry_space_group_name_H-M 'I 4/m m m'
_symmetry_Int_Tables_number 139
_symmetry_space_group_name_Hall '-I 4 2'
loop_
_atom_site_label
_atom_site_fract_x
_atom_site_fract_y
_atom_site_fract_z
Al1 0.000 0.000 0.000
Si1 0.000 0.000 0.500
Hg1 0.000 0.500 0.250
```

Computed properties:
DFT total energy in eV per cell: -16.22
Formation energy from raw total energies in meV/atom: 415
M_tot in μB/cell: 0.00

***

(10)
Here is a geometry-optimized AlSiHg2 structure from the Alexandria database. Energies are from PBE.

Cell and atoms, written as CIF:
```
data_AlSiHg2
_chemical_formula_sum 'Al2 Si2 Hg4'
_cell_length_a 4.250
_cell_length_b 4.250
_cell_length_c 9.113
_cell_angle_alpha 90.00
_cell_angle_beta 90.00
_cell_angle_gamma 90.00
_symmetry_space_group_name_H-M 'I -4 m 2'
_symmetry_Int_Tables_number 119
_symmetry_space_group_name_Hall 'I -4 -2'
loop_
_atom_site_label
_atom_site_fract_x
_atom_site_fract_y
_atom_site_fract_z
Al1 0.000 0.000 0.000
Si1 0.000 0.500 0.250
Hg1 0.000 0.000 0.500
Hg2 0.000 0.500 0.750
```

Computed properties:
DFT total energy in eV per cell: -16.24
Formation energy from raw total energies in meV/atom: 413
M_tot in μB/cell: 0.00

***

(11)
Here is a geometry-optimized AlSi2Hg structure from the Alexandria database. Energies are from PBE.

Cell and atoms, written as CIF:
```
data_AlSi2Hg
_chemical_formula_sum 'Al2 Si4 Hg2'
_cell_length_a 2.906
_cell_length_b 4.899
_cell_length_c 10.312
_cell_angle_alpha 90.00
_cell_angle_beta 90.00
_cell_angle_gamma 90.00
_symmetry_space_group_name_H-M 'I m m 2'
_symmetry_Int_Tables_number 44
loop_
_symmetry_equiv_pos_as_xyz
'x,y,z'
'-x,-y,z'
'-x,y,z'
'x,-y,z'
'x+1/2,y+1/2,z+1/2'
'-x+1/2,-y+1/2,z+1/2'
'-x+1/2,y+1/2,z+1/2'
'x+1/2,-y+1/2,z+1/2'
loop_
_atom_site_label
_atom_site_fract_x
_atom_site_fract_y
_atom_site_fract_z
Al1 0.000 0.000 0.000
Si1 0.000 0.000 0.568
Si2 0.000 0.500 0.272
Hg1 0.000 0.500 0.784
```

Computed properties:
DFT total energy in eV per cell: -26.48
Formation energy from raw total energies in meV/atom: 413
M_tot in μB/cell: 0.00

***

(12)
Here is a geometry-optimized Al4SiHg structure from the Alexandria database. Energies are from PBE.

Cell and atoms, written as CIF:
```
data_Al4SiHg
_chemical_formula_sum 'Al16 Si4 Hg4'
_cell_length_a 7.668
_cell_length_b 7.668
_cell_length_c 7.668
_cell_angle_alpha 90.00
_cell_angle_beta 90.00
_cell_angle_gamma 90.00
_symmetry_space_group_name_H-M 'F -4 3 m'
_symmetry_Int_Tables_number 216
_symmetry_space_group_name_Hall 'F -4 2 3'
loop_
_atom_site_label
_atom_site_fract_x
_atom_site_fract_y
_atom_site_fract_z
Al1 0.125 0.125 0.125
Si1 0.000 0.000 0.500
Hg1 0.250 0.250 0.750
```

Computed properties:
DFT total energy in eV per cell: -74.47
Formation energy from raw total energies in meV/atom: 346
M_tot in μB/cell: 0.00

***

(13)
Here is a geometry-optimized AlSi2Hg structure from the Alexandria database. Energies are from PBE.

Cell and atoms, written as CIF:
```
data_AlSi2Hg
_chemical_formula_sum 'Al2 Si4 Hg2'
_cell_length_a 5.500
_cell_length_b 9.962
_cell_length_c 2.729
_cell_angle_alpha 90.00
_cell_angle_beta 90.00
_cell_angle_gamma 90.00
_symmetry_space_group_name_H-M 'C m m m'
_symmetry_Int_Tables_number 65
_symmetry_space_group_name_Hall '-C 2 2'
loop_
_atom_site_label
_atom_site_fract_x
_atom_site_fract_y
_atom_site_fract_z
Al1 0.000 0.000 0.000
Si1 0.250 0.250 0.500
Hg1 0.000 0.500 0.000
```

Computed properties:
DFT total energy in eV per cell: -25.81
Formation energy from raw total energies in meV/atom: 496
M_tot in μB/cell: 0.00

***

(14)
Here is a geometry-optimized AlSi2Hg structure from the Alexandria database. Energies are from PBE.

Cell and atoms, written as CIF:
```
data_AlSi2Hg
_chemical_formula_sum 'Al2 Si4 Hg2'
_cell_length_a 6.552
_cell_length_b 3.629
_cell_length_c 7.363
_cell_angle_alpha 90.00
_cell_angle_beta 113.18
_cell_angle_gamma 90.00
_symmetry_space_group_name_H-M 'C 1 m 1'
_symmetry_Int_Tables_number 8
loop_
_symmetry_equiv_pos_as_xyz
'x,y,z'
'x,-y,z'
'x+1/2,y+1/2,z'
'x+1/2,-y+1/2,z'
loop_
_atom_site_label
_atom_site_fract_x
_atom_site_fract_y
_atom_site_fract_z
Al1 0.000 0.000 0.000
Si1 0.020 0.500 0.396
Si2 0.275 0.500 0.237
Hg1 0.218 0.000 0.715
```

Computed properties:
DFT total energy in eV per cell: -27.82
Formation energy from raw total energies in meV/atom: 245
M_tot in μB/cell: 0.00